A plane-wave DFT calculation with GGA+U was carried out for a relaxed structure of Mg6AlFeO8.

## Properties
The calculated volume comes out at 155.64 Å³ per cell. The magnetic moment is 3.18 μB/f.u. As for the total energy: -6.03 eV/atom. For the offset from the most stable computed form, the calculation gives 48 meV per atom. The density of states at the Fermi level comes out at 3.5 states/eV/cell.

a = 4.240 Å, b = 4.240 Å, c = 8.656 Å
α = 90.00°, β = 90.00°, γ = 90.00°
Site moments in Bohr magnetons follow the coordinates.
Atoms (fractional coordinates):
O (0.000, 0.000, 0.777)  0.00
Al (0.000, 0.000, 0.000)  0.00
O (0.000, 0.500, 0.500)  0.00
O (0.000, 0.000, 0.223)  0.00
O (0.500, 0.000, 0.000)  0.03
O (0.500, 0.500, 0.267)  0.02
Mg (0.000, 0.000, 0.500)  0.00
O (0.500, 0.500, 0.733)  0.02
Mg (0.500, 0.000, 0.755)  0.00
O (0.500, 0.000, 0.500)  0.00
Mg (0.000, 0.500, 0.755)  0.00
Fe (0.500, 0.500, 0.000)  3.07
Mg (0.500, 0.500, 0.500)  0.00
Mg (0.500, 0.000, 0.245)  0.00
Mg (0.000, 0.500, 0.245)  0.00
O (0.000, 0.500, 0.000)  0.03